Ac6Pt3Se: relaxed, PBE-GGA.

total DFT energy (no corrections)	-5.679	eV/atom
Fermi-level density of states	15.9	states/eV/cell
uncorrected formation energy	-101.7	kJ per mole of atoms
calculated density	9.524	g/cm3
total magnetization	0.000	Bohr magnetons per cell

```
20
Lattice="-1.503 3.829 1.537 -12.344 -2.980 -4.645 1.802 -4.127 12.044" Properties=species:S:1:pos:R:3 pbc="T T T"
Ac -5.346 -0.828 6.246
Ac -6.699 -2.450 2.690
Ac -12.435 -0.251 -2.122
Ac 0.390 -3.026 11.059
Ac -5.873 1.463 0.022
Ac -6.171 -4.741 8.915
Ac -9.622 -0.341 0.851
Ac -2.423 -2.937 8.085
Ac -1.544 0.741 6.055
Ac -10.501 -4.018 2.881
Ac -9.052 -2.432 6.619
Ac -2.992 -0.845 2.317
Pt -5.100 -1.892 9.136
Pt -6.945 -1.386 -0.200
Pt -9.303 -1.358 3.698
Pt -2.742 -1.920 5.238
Pt -2.939 2.038 1.458
Pt -9.105 -5.316 7.478
Se -0.805 -0.305 9.383
Se -11.240 -2.973 -0.447
```